# 1
ZnOsSeN2 after structural relaxation, computed with PBE.

Structure (POSCAR):
```
ZnOsSeN2
1.0
3.763 0.000 0.000
0.000 3.763 0.000
0.000 0.000 5.029
N Se Os Zn
2 1 1 1
Direct
0.000 0.500 0.000 N
0.500 0.000 0.000 N
0.000 0.000 0.500 Se
0.500 0.500 0.500 Os
0.000 0.000 0.000 Zn
```

Results
As for the electronic total energy: -4.373 eV per atom. Its energy relative to the lowest polymorph listed for this composition is 1657 meV/atom. The calculation puts the density at 8.5 g cm⁻³. For the formation energy (no corrections), the calculation gives 10.8 eV per formula unit.


# 2
ZnOsSe2N after structural relaxation, computed with PBE.

Structure (POSCAR):
```
ZnOsSe2N
1.0
4.962 0.000 0.000
0.000 4.962 0.000
0.000 0.000 3.464
Se N Os Zn
2 1 1 1
Direct
0.500 0.000 0.000 Se
0.000 0.500 0.000 Se
0.000 0.000 0.500 N
0.500 0.500 0.500 Os
0.000 0.000 0.000 Zn
```

Results
As for the electronic total energy: -3.986 eV per atom. Its energy relative to the lowest polymorph listed for this composition is 1164 meV/atom. The calculation puts the density at 8.3 g cm⁻³. For the formation energy (no corrections), the calculation gives 7.9 eV per formula unit.


# 3
ZnOsSe2N after structural relaxation, computed with PBE.

Structure (POSCAR):
```
ZnOsSe2N
1.0
-0.184 -3.124 4.074
2.856 -3.450 -2.516
3.044 1.552 1.327
Se N Os Zn
2 1 1 1
Direct
0.500 0.000 0.000 Se
0.000 0.500 0.000 Se
0.000 0.000 0.500 N
0.000 0.000 0.000 Os
0.500 0.500 0.500 Zn
```

Results
As for the electronic total energy: -5.150 eV per atom. Its energy relative to the lowest polymorph listed for this composition is 0 meV/atom. The calculation puts the density at 7.3 g cm⁻³. For the formation energy (no corrections), the calculation gives 2.0 eV per formula unit.


# 4
ZnOsSeN2 after structural relaxation, computed with PBE.

Structure (POSCAR):
```
ZnOsSeN2
1.0
-0.266 -3.410 -1.614
3.262 0.605 -1.816
2.777 -2.226 4.246
Zn Se N Os
1 1 2 1
Direct
0.500 0.500 0.500 Zn
0.000 0.000 0.500 Se
0.000 0.500 0.000 N
0.500 0.000 0.000 N
0.000 0.000 0.000 Os
```

Results
As for the electronic total energy: -6.030 eV per atom. Its energy relative to the lowest polymorph listed for this composition is 0 meV/atom. The calculation puts the density at 7.6 g cm⁻³. For the formation energy (no corrections), the calculation gives 2.5 eV per formula unit.


# 5
Zr2OsSeN after structural relaxation, computed with PBE.

Structure (POSCAR):
```
Zr2OsSeN
1.0
-1.947 1.626 -3.630
3.428 -1.100 -2.331
-1.815 -3.960 -0.801
N Zr Os Se
1 2 1 1
Direct
0.000 0.000 0.000 N
0.500 0.000 0.000 Zr
0.000 0.000 0.500 Zr
0.500 0.500 0.500 Os
0.000 0.500 0.000 Se
```

Results
As for the electronic total energy: -8.105 eV per atom. The calculation puts the density at 9.2 g cm⁻³. For the formation energy (no corrections), the calculation gives -0.4 eV per formula unit.


# 6
Si3OsN after structural relaxation, computed with PBE.

Structure (POSCAR):
```
Si3OsN
1.0
3.895 0.000 0.000
0.000 3.895 0.000
0.000 0.000 3.895
Si N Os
3 1 1
Direct
0.000 0.500 0.000 Si
0.500 0.000 0.000 Si
0.000 0.000 0.500 Si
0.000 0.000 0.000 N
0.500 0.500 0.500 Os
```

Results
As for the electronic total energy: -6.655 eV per atom. Its energy relative to the lowest polymorph listed for this composition is 0 meV/atom. The calculation puts the density at 8.1 g cm⁻³. For the formation energy (no corrections), the calculation gives 2.6 eV per formula unit.